(1)
Here is a geometry-optimized Ni2OsAu structure from Alexandria. Energies are from PBE.

Cell and atoms, written as extended XYZ:
```
8
Lattice="2.756 0.000 0.000 0.000 4.547 0.000 0.000 0.000 8.981" Properties=species:S:1:pos:R:3 pbc="T T T"
Ni 0.000 0.000 0.000
Ni 0.000 2.274 1.986
Ni 1.378 0.000 1.986
Ni 1.378 2.274 0.000
Os 0.000 2.274 6.902
Os 1.378 0.000 6.902
Au 0.000 0.000 4.287
Au 1.378 2.274 4.287
```

Computed properties:
The energy relative to the lowest polymorph listed for this composition comes out at 299 meV/atom. The space group is No. 35. For the formation energy, the calculation gives 0.433 eV/atom.

***

(2)
Here is a geometry-optimized CdSnRu2 structure from Alexandria. Energies are from PBE.

Cell and atoms, written as extended XYZ:
```
16
Lattice="7.325 0.000 0.000 0.000 7.325 0.000 0.000 0.000 5.683" Properties=species:S:1:pos:R:3 pbc="T T T"
Cd 0.000 0.000 0.000
Cd 0.000 3.663 1.421
Cd 3.663 0.000 4.262
Cd 3.663 3.663 2.842
Sn 0.000 0.000 2.842
Sn 0.000 3.663 4.262
Sn 3.663 0.000 1.421
Sn 3.663 3.663 0.000
Ru 1.717 1.831 3.552
Ru 1.831 5.380 4.973
Ru 1.831 5.608 2.131
Ru 1.946 1.831 0.710
Ru 5.380 5.494 0.710
Ru 5.494 1.717 2.131
Ru 5.494 1.946 4.973
Ru 5.608 5.494 3.552
```

Computed properties:
The space group is No. 122. For the formation energy, the calculation gives 0.668 eV/atom.

***

(3)
Here is a geometry-optimized Ac6Tb2Ho structure from Alexandria. Energies are from PBE.

Cell and atoms, written as extended XYZ:
```
18
Lattice="7.617 -6.285 0.000 7.617 6.285 0.000 -0.036 0.000 7.742" Properties=species:S:1:pos:R:3 pbc="T T T"
Ac 1.557 0.062 1.002
Ac 1.539 -0.062 4.872
Ac 5.459 3.066 0.954
Ac 5.815 2.871 4.734
Ac 9.365 2.871 6.878
Ac 9.757 3.066 2.917
Ac 5.441 -3.066 4.824
Ac 5.833 -2.871 0.864
Ac 9.383 -2.871 3.007
Ac 9.739 -3.066 6.788
Ac 13.659 0.062 2.869
Ac 13.641 -0.062 6.740
Tb 4.543 0.065 6.911
Tb 4.561 -0.065 3.040
Tb 10.636 0.065 4.702
Tb 10.654 -0.065 0.831
Ho 7.608 0.291 1.935
Ho 7.590 -0.291 5.806
```

Computed properties:
The space group is No. 15. For the formation energy, the calculation gives 0.164 eV/atom.